Compound: MgTa
Source: Alexandria via LeMat-Bulk
Functional: PBE-GGA
Structure: optimized geometry

Properties
**Fermi-level density of states**: 2.81 states/eV/f.u.
**Space-group type**: P6_3/mmc (194)
**ρ**: 6.34 Mg/m³

Lattice parameters (Å, degrees): 4.8028 4.8028 5.3831 90.00 90.00 120.00
Closest atoms and distances in Å follow each position.
Positions (direct):
Mg (0.3333, 0.6667, 0.2500)  5 Ta 2.69-2.77
Mg (0.6667, 0.3333, 0.7500)  5 Ta 2.69-2.77
Ta (0.3333, 0.6667, 0.7500)  5 Mg 2.69-2.77
Ta (0.6667, 0.3333, 0.2500)  5 Mg 2.69-2.77

---

Compound: Mg7Ta6
Source: Alexandria via LeMat-Bulk
Functional: PBE-GGA
Structure: optimized geometry

Properties
**Fermi-level density of states**: 10.16 states/eV/f.u.
**Space-group type**: R-3m (166)
**ρ**: 8.65 Mg/m³

Lattice parameters (Å, degrees): 10.2123 10.2123 10.2123 30.35 30.35 30.35
Closest atoms and distances in Å follow each position.
Positions (direct):
Mg (0.0000, 0.0000, 0.0000)  6 Mg 2.75
Mg (0.0927, 0.0927, 0.5827)  5 Mg 2.62-2.75
Mg (0.0927, 0.5827, 0.0927)  5 Mg 2.62-2.75
Mg (0.4173, 0.9073, 0.9073)  5 Mg 2.62-2.75
Mg (0.5827, 0.0927, 0.0927)  5 Mg 2.62-2.75
Mg (0.9073, 0.4173, 0.9073)  5 Mg 2.62-2.75
Mg (0.9073, 0.9073, 0.4173)  5 Mg 2.62-2.75
Ta (0.1650, 0.1650, 0.1650)  6 Mg 3.01-3.06, 9 Ta 3.09-3.35
Ta (0.3508, 0.3508, 0.3508)  4 Ta 3.10-3.25, 12 Mg 3.13-3.19
Ta (0.4571, 0.4571, 0.4571)  1 Ta 2.51
Ta (0.5429, 0.5429, 0.5429)  1 Ta 2.51
Ta (0.6492, 0.6492, 0.6492)  4 Ta 3.10-3.25, 12 Mg 3.13-3.19
Ta (0.8350, 0.8350, 0.8350)  6 Mg 3.01-3.06, 9 Ta 3.09-3.35

---

Compound: Mg2Ta
Source: Alexandria via LeMat-Bulk
Functional: PBE-GGA
Structure: optimized geometry

Properties
**Fermi-level density of states**: 1.64 states/eV/f.u.
**Space-group type**: I4/mmm (139)
**ρ**: 6.35 Mg/m³

Lattice parameters (Å, degrees): 7.3927 7.3927 7.3927 157.33 157.33 32.28
Closest atoms and distances in Å follow each position.
Positions (direct):
Mg (0.1590, 0.1590, 0.0000)  4 Mg 2.91, 4 Ta 3.05
Mg (0.8410, 0.8410, 0.0000)  4 Mg 2.91, 4 Ta 3.05
Ta (0.5000, 0.5000, 0.0000)  4 Ta 2.91, 8 Mg 3.05

---

Compound: MgTa
Source: Alexandria via LeMat-Bulk
Functional: PBE-GGA
Structure: optimized geometry

Properties
**Fermi-level density of states**: 1.71 states/eV/f.u.
**Space-group type**: Cmme (67)
**ρ**: 8.65 Mg/m³

Lattice parameters (Å, degrees): 2.9225 2.9225 9.6937 90.00 90.00 107.80
Closest atoms and distances in Å follow each position.
Positions (direct):
Mg (0.2500, 0.7500, 0.8664)  6 Mg 2.92-3.11, 2 Ta 3.00
Mg (0.7500, 0.2500, 0.1336)  6 Mg 2.92-3.11, 2 Ta 3.00
Ta (0.2500, 0.7500, 0.3876)  6 Ta 2.78-2.92, 2 Mg 3.00
Ta (0.7500, 0.2500, 0.6124)  6 Ta 2.78-2.92, 2 Mg 3.00

---

Compound: MgTa2
Source: Alexandria via LeMat-Bulk
Functional: PBE-GGA
Structure: optimized geometry

Properties
**Fermi-level density of states**: 3.56 states/eV/f.u.
**Space-group type**: I4_1/amd (141)
**ρ**: 10.56 Mg/m³

Lattice parameters (Å, degrees): 9.7641 9.7641 9.7641 158.82 158.82 30.13
Closest atoms and distances in Å follow each position.
Positions (direct):
Mg (0.3750, 0.6250, 0.7500)  8 Ta 2.88
Mg (0.6250, 0.3750, 0.2500)  8 Ta 2.88
Ta (0.0524, 0.8024, 0.2500)  3 Ta 2.67-2.74, 4 Mg 2.88
Ta (0.1976, 0.9476, 0.2500)  3 Ta 2.67-2.74, 4 Mg 2.88
Ta (0.8024, 0.0524, 0.7500)  3 Ta 2.67-2.74, 4 Mg 2.88
Ta (0.9476, 0.1976, 0.7500)  3 Ta 2.67-2.74, 4 Mg 2.88

---

Compound: Mg2Ta3
Source: Alexandria via LeMat-Bulk
Functional: PBE-GGA
Structure: optimized geometry

Properties
**Fermi-level density of states**: 7.98 states/eV/f.u.
**Space-group type**: R-3m (166)
**ρ**: 10.29 Mg/m³

Lattice parameters (Å, degrees): 13.0255 13.0255 13.0255 12.88 12.88 12.88
Closest atoms and distances in Å follow each position.
Positions (direct):
Mg (0.0999, 0.0999, 0.0999)  6 Mg 2.92, 6 Ta 3.09
Mg (0.9001, 0.9001, 0.9001)  6 Mg 2.92, 6 Ta 3.09
Ta (0.3003, 0.3003, 0.3003)  9 Ta 2.92-3.06, 3 Mg 3.09
Ta (0.5000, 0.5000, 0.5000)  6 Ta 2.92, 6 Mg 3.09
Ta (0.6997, 0.6997, 0.6997)  9 Ta 2.92-3.06, 3 Mg 3.09

---

Compound: MgTa5
Source: Alexandria via LeMat-Bulk
Functional: PBE-GGA
Structure: optimized geometry

Properties
**Fermi-level density of states**: 8.27 states/eV/f.u.
**Space-group type**: P4/mmm (123)
**ρ**: 13.64 Mg/m³

Lattice parameters (Å, degrees): 2.8046 2.8046 14.3811 90.00 90.00 90.00
Closest atoms and distances in Å follow each position.
Positions (direct):
Mg (0.0000, 0.0000, 0.0000)  4 Mg 2.80
Ta (0.0000, 0.0000, 0.3335)  12 Ta 2.80-3.11
Ta (0.0000, 0.0000, 0.6665)  12 Ta 2.80-3.11
Ta (0.5000, 0.5000, 0.1717)  8 Ta 2.80-3.06
Ta (0.5000, 0.5000, 0.5000)  12 Ta 2.80-3.11
Ta (0.5000, 0.5000, 0.8283)  8 Ta 2.80-3.06

---

Compound: MgTa
Source: Alexandria via LeMat-Bulk
Functional: PBE-GGA
Structure: optimized geometry

Properties
**Fermi-level density of states**: 3.55 states/eV/f.u.
**Space-group type**: F-43m (216)
**ρ**: 5.59 Mg/m³

Lattice parameters (Å, degrees): 4.4183 4.4183 4.4183 60.00 60.00 60.00
Closest atoms and distances in Å follow each position.
Positions (direct):
Mg (0.0000, 0.0000, 0.0000)  4 Ta 2.71
Ta (0.2500, 0.2500, 0.2500)  4 Mg 2.71

---

Compound: Mg2Ta
Source: Alexandria via LeMat-Bulk
Functional: PBE-GGA
Structure: optimized geometry

Properties
**Fermi-level density of states**: 1.75 states/eV/f.u.
**Space-group type**: Cm (8)
**ρ**: 6.26 Mg/m³

Lattice parameters (Å, degrees): 5.9475 5.9475 7.4024 105.19 105.19 28.87
Closest atoms and distances in Å follow each position.
Positions (direct):
Mg (0.0000, 0.0000, 0.0000)  7 Mg 2.97-3.13, 5 Ta 2.99-3.15
Mg (0.0528, 0.0528, 0.6188)  8 Mg 2.97-3.12, 4 Ta 3.23
Mg (0.3239, 0.3239, 0.6624)  9 Mg 2.97-3.13, 3 Ta 3.11-3.15
Mg (0.6556, 0.6556, 0.3264)  8 Mg 2.97-3.11, 4 Ta 3.02-3.16
Ta (0.3728, 0.3728, 0.2637)  4 Ta 2.75-2.97, 2 Mg 3.05
Ta (0.7356, 0.7356, 0.9702)  4 Ta 2.75-2.97, 2 Mg 2.99-3.02

---

Compound: Mg4Ta5
Source: Alexandria via LeMat-Bulk
Functional: PBE-GGA
Structure: optimized geometry

Properties
**Fermi-level density of states**: 7.87 states/eV/f.u.
**Space-group type**: P6_3/mcm (193)
**ρ**: 9.82 Mg/m³

Lattice parameters (Å, degrees): 8.2864 8.2864 5.6985 90.00 90.00 120.00
Closest atoms and distances in Å follow each position.
Positions (direct):
Mg (0.0000, 0.0000, 0.0000)  8 Mg 2.85-2.88
Mg (0.0000, 0.0000, 0.5000)  8 Mg 2.85-2.88
Mg (0.0000, 0.3016, 0.2500)  5 Ta 2.69-2.91, 2 Mg 2.88
Mg (0.0000, 0.6984, 0.7500)  5 Ta 2.69-2.91, 2 Mg 2.88
Mg (0.3016, 0.0000, 0.2500)  5 Ta 2.69-2.91, 2 Mg 2.88
Mg (0.3016, 0.3016, 0.7500)  5 Ta 2.69-2.91, 2 Mg 2.88
Mg (0.6984, 0.0000, 0.7500)  5 Ta 2.69-2.91, 2 Mg 2.88
Mg (0.6984, 0.6984, 0.2500)  5 Ta 2.69-2.91, 2 Mg 2.88
Ta (0.0000, 0.3741, 0.7500)  5 Mg 2.69-2.91, 4 Ta 2.97
Ta (0.0000, 0.6259, 0.2500)  5 Mg 2.69-2.91, 4 Ta 2.97
Ta (0.3333, 0.6667, 0.0000)  8 Ta 2.85-2.97
Ta (0.3333, 0.6667, 0.5000)  8 Ta 2.85-2.97
Ta (0.3741, 0.0000, 0.7500)  5 Mg 2.69-2.91, 4 Ta 2.97
Ta (0.3741, 0.3741, 0.2500)  5 Mg 2.69-2.91, 4 Ta 2.97
Ta (0.6259, 0.0000, 0.2500)  5 Mg 2.69-2.91, 4 Ta 2.97
Ta (0.6259, 0.6259, 0.7500)  5 Mg 2.69-2.91, 4 Ta 2.97
Ta (0.6667, 0.3333, 0.0000)  8 Ta 2.85-2.97
Ta (0.6667, 0.3333, 0.5000)  8 Ta 2.85-2.97

---

Compound: Mg7Ta
Source: Alexandria via LeMat-Bulk
Functional: PBE-GGA
Structure: optimized geometry

Properties
**Fermi-level density of states**: 9.33 states/eV/f.u.
**Space-group type**: Fm-3m (225)
**ρ**: 3.45 Mg/m³

Lattice parameters (Å, degrees): 6.2058 6.2058 6.2058 60.00 60.00 60.00
Closest atoms and distances in Å follow each position.
Positions (direct):
Mg (0.0000, 0.0000, 0.0000)  12 Mg 3.10
Mg (0.0000, 0.0000, 0.5000)  10 Mg 3.10, 2 Ta 3.10
Mg (0.0000, 0.5000, 0.0000)  10 Mg 3.10, 2 Ta 3.10
Mg (0.0000, 0.5000, 0.5000)  2 Ta 3.10, 10 Mg 3.10
Mg (0.5000, 0.0000, 0.0000)  10 Mg 3.10, 2 Ta 3.10
Mg (0.5000, 0.0000, 0.5000)  2 Ta 3.10, 10 Mg 3.10
Mg (0.5000, 0.5000, 0.0000)  2 Ta 3.10, 10 Mg 3.10
Ta (0.5000, 0.5000, 0.5000)  12 Mg 3.10

---

Compound: MgTa2
Source: Alexandria via LeMat-Bulk
Functional: PBE-GGA
Structure: optimized geometry

Properties
**Fermi-level density of states**: 3.91 states/eV/f.u.
**Space-group type**: I4/mcm (140)
**ρ**: 11.50 Mg/m³

Lattice parameters (Å, degrees): 5.3213 5.3213 5.3213 103.43 103.43 122.38
Closest atoms and distances in Å follow each position.
Positions (direct):
Mg (0.2500, 0.2500, 0.0000)  2 Mg 2.56, 8 Ta 2.83
Mg (0.7500, 0.7500, 0.0000)  2 Mg 2.56, 8 Ta 2.83
Ta (0.1477, 0.6477, 0.7955)  1 Ta 2.76, 4 Mg 2.83
Ta (0.3523, 0.1477, 0.5000)  1 Ta 2.76, 4 Mg 2.83
Ta (0.6477, 0.8523, 0.5000)  1 Ta 2.76, 4 Mg 2.83
Ta (0.8523, 0.3523, 0.2045)  1 Ta 2.76, 4 Mg 2.83

---

Compound: Mg3Ta4
Source: Alexandria via LeMat-Bulk
Functional: PBE-GGA
Structure: optimized geometry

Properties
**Fermi-level density of states**: 5.83 states/eV/f.u.
**Space-group type**: P6/mmm (191)
**ρ**: 10.23 Mg/m³

Lattice parameters (Å, degrees): 5.2805 5.2805 5.3573 90.00 90.00 120.00
Closest atoms and distances in Å follow each position.
Positions (direct):
Mg (0.0000, 0.5000, 0.0000)  4 Mg 2.64
Mg (0.5000, 0.0000, 0.0000)  4 Mg 2.64
Mg (0.5000, 0.5000, 0.0000)  4 Mg 2.64
Ta (0.0000, 0.0000, 0.2690)  1 Ta 2.48
Ta (0.0000, 0.0000, 0.7310)  1 Ta 2.48
Ta (0.3333, 0.6667, 0.5000)  9 Ta 3.05-3.29, 6 Mg 3.08
Ta (0.6667, 0.3333, 0.5000)  9 Ta 3.05-3.29, 6 Mg 3.08

---

Compound: MgTa5
Source: Alexandria via LeMat-Bulk
Functional: PBE-GGA
Structure: optimized geometry

Properties
**Fermi-level density of states**: 7.02 states/eV/f.u.
**Space-group type**: P6/mmm (191)
**ρ**: 12.19 Mg/m³

Lattice parameters (Å, degrees): 5.7079 5.7079 4.4855 90.00 90.00 120.00
Closest atoms and distances in Å follow each position.
Positions (direct):
Mg (0.0000, 0.0000, 0.0000)  18 Ta 3.30-3.63
Ta (0.0000, 0.5000, 0.5000)  8 Ta 2.78-2.85
Ta (0.3333, 0.6667, 0.0000)  6 Ta 2.78
Ta (0.5000, 0.0000, 0.5000)  8 Ta 2.78-2.85
Ta (0.5000, 0.5000, 0.5000)  8 Ta 2.78-2.85
Ta (0.6667, 0.3333, 0.0000)  6 Ta 2.78

---

Compound: Mg2Ta
Source: Alexandria via LeMat-Bulk
Functional: PBE-GGA
Structure: optimized geometry

Properties
**Fermi-level density of states**: 2.84 states/eV/f.u.
**Space-group type**: I4/mcm (140)
**ρ**: 5.43 Mg/m³

Lattice parameters (Å, degrees): 5.8479 5.8479 5.8479 100.69 100.69 128.97
Closest atoms and distances in Å follow each position.
Positions (direct):
Mg (0.1673, 0.6673, 0.8346)  4 Ta 3.05, 2 Mg 3.06
Mg (0.3327, 0.1673, 0.5000)  4 Ta 3.05, 2 Mg 3.06
Mg (0.6673, 0.8327, 0.5000)  4 Ta 3.05, 2 Mg 3.06
Mg (0.8327, 0.3327, 0.1654)  4 Ta 3.05, 2 Mg 3.06
Ta (0.2500, 0.2500, 0.0000)  2 Ta 2.52
Ta (0.7500, 0.7500, 0.0000)  2 Ta 2.52

---

Compound: MgTa2
Source: Alexandria via LeMat-Bulk
Functional: PBE-GGA
Structure: optimized geometry

Properties
**Fermi-level density of states**: 3.48 states/eV/f.u.
**Space-group type**: Cmcm (63)
**ρ**: 11.34 Mg/m³

Lattice parameters (Å, degrees): 8.0746 8.0746 5.0144 90.00 90.00 159.77
Closest atoms and distances in Å follow each position.
Positions (direct):
Mg (0.1164, 0.8836, 0.7500)  2 Mg 2.84, 10 Ta 2.91-3.10
Mg (0.8836, 0.1164, 0.2500)  2 Mg 2.84, 10 Ta 2.91-3.10
Ta (0.2099, 0.7901, 0.2500)  8 Ta 2.84-3.15, 4 Mg 2.91-3.10
Ta (0.4475, 0.5525, 0.7500)  6 Ta 2.84-3.01, 6 Mg 3.04-3.05
Ta (0.5525, 0.4475, 0.2500)  6 Ta 2.84-3.01, 6 Mg 3.04-3.05
Ta (0.7901, 0.2099, 0.7500)  8 Ta 2.84-3.15, 4 Mg 2.91-3.10

---

Compound: MgTa
Source: Alexandria via LeMat-Bulk
Functional: PBE-GGA
Structure: optimized geometry

Properties
**Fermi-level density of states**: 1.41 states/eV/f.u.
**Space-group type**: Cm (8)
**ρ**: 8.73 Mg/m³

Lattice parameters (Å, degrees): 6.0379 6.0379 6.9572 102.48 102.48 28.28
Closest atoms and distances in Å follow each position.
Positions (direct):
Mg (0.0000, 0.0000, 0.0000)  5 Mg 2.84-2.98, 5 Ta 2.97-3.15
Mg (0.0500, 0.0500, 0.6185)  5 Mg 2.84-2.96, 5 Ta 3.11-3.17
Mg (0.6545, 0.6545, 0.3314)  6 Mg 2.95-2.98, 6 Ta 2.99-3.29
Ta (0.3228, 0.3228, 0.6592)  5 Ta 2.81-2.95, 4 Mg 3.04-3.11
Ta (0.3682, 0.3682, 0.2800)  5 Ta 2.81-2.95, 4 Mg 2.99-3.11
Ta (0.7415, 0.7415, 0.9485)  6 Ta 2.83-2.95, 2 Mg 2.97-3.06

---

Compound: Mg2Ta
Source: Alexandria via LeMat-Bulk
Functional: PBE-GGA
Structure: optimized geometry

Properties
**Fermi-level density of states**: 1.47 states/eV/f.u.
**Space-group type**: Immm (71)
**ρ**: 6.42 Mg/m³

Lattice parameters (Å, degrees): 5.5930 5.5930 5.5930 150.81 135.63 54.00
Closest atoms and distances in Å follow each position.
Positions (direct):
Mg (0.1692, 0.1692, 0.0000)  6 Mg 2.82-3.01, 4 Ta 3.05
Mg (0.8308, 0.8308, 0.0000)  6 Mg 2.82-3.01, 4 Ta 3.05
Ta (0.5000, 0.5000, 0.0000)  2 Ta 2.82, 8 Mg 3.05

---

Compound: Mg3Ta4
Source: Alexandria via LeMat-Bulk
Functional: PBE-GGA
Structure: optimized geometry

Properties
**Fermi-level density of states**: 9.01 states/eV/f.u.
**Space-group type**: I4/mmm (139)
**ρ**: 9.47 Mg/m³

Lattice parameters (Å, degrees): 11.9021 11.9021 11.9021 163.27 163.27 23.75
Closest atoms and distances in Å follow each position.
Positions (direct):
Mg (0.0000, 0.0000, 0.0000)  10 Ta 3.04
Mg (0.2903, 0.2903, 0.0000)  5 Ta 3.07-3.09, 4 Mg 3.08
Mg (0.7097, 0.7097, 0.0000)  5 Ta 3.07-3.09, 4 Mg 3.08
Ta (0.1304, 0.1304, 0.0000)  4 Ta 2.75, 5 Mg 3.04-3.07
Ta (0.4230, 0.4230, 0.0000)  4 Ta 2.75, 4 Mg 3.04
Ta (0.5770, 0.5770, 0.0000)  4 Ta 2.75, 4 Mg 3.04
Ta (0.8696, 0.8696, 0.0000)  4 Ta 2.75, 5 Mg 3.04-3.07

---

Compound: MgTa
Source: Alexandria via LeMat-Bulk
Functional: PBE-GGA
Structure: optimized geometry

Properties
**Fermi-level density of states**: 3.19 states/eV/f.u.
**Space-group type**: Fd-3m (227)
**ρ**: 8.89 Mg/m³

Lattice parameters (Å, degrees): 4.7687 4.7687 4.7687 60.00 60.00 60.00
Closest atoms and distances in Å follow each position.
Positions (direct):
Mg (0.1250, 0.1250, 0.1250)  4 Ta 2.92, 4 Mg 2.92
Mg (0.8750, 0.8750, 0.8750)  4 Mg 2.92, 4 Ta 2.92
Ta (0.3750, 0.3750, 0.3750)  4 Ta 2.92, 4 Mg 2.92
Ta (0.6250, 0.6250, 0.6250)  4 Ta 2.92, 4 Mg 2.92

---

Number 1: raw total energy -4.5072 eV/atom, total magnetization 0.521 μB/atom. Number 2: raw total energy -5.8891 eV/atom, total magnetization 0.000 μB/atom. Number 3: raw total energy -4.8104 eV/atom, total magnetization 0.000 μB/atom. Number 4: raw total energy -6.5904 eV/atom, total magnetization 0.000 μB/atom. Number 5: raw total energy -7.4890 eV/atom, total magnetization 0.000 μB/atom. Number 6: raw total energy -7.4314 eV/atom, total magnetization 0.000 μB/atom. Number 7: raw total energy -9.9279 eV/atom, total magnetization 0.000 μB/atom. Number 8: raw total energy -3.7998 eV/atom, total magnetization 0.000 μB/atom. Number 9: raw total energy -4.7856 eV/atom, total magnetization 0.000 μB/atom. Number 10: raw total energy -6.8782 eV/atom, total magnetization 0.000 μB/atom. Number 11: raw total energy -2.7066 eV/atom, total magnetization 0.000 μB/atom. Number 12: raw total energy -7.7430 eV/atom, total magnetization 0.000 μB/atom. Number 13: raw total energy -7.0386 eV/atom, total magnetization 0.000 μB/atom. Number 14: raw total energy -9.6067 eV/atom, total magnetization 0.000 μB/atom. Number 15: raw total energy -4.5055 eV/atom, total magnetization 0.000 μB/atom. Number 16: raw total energy -8.1172 eV/atom, total magnetization 0.000 μB/atom. Number 17: raw total energy -6.4417 eV/atom, total magnetization 0.000 μB/atom. Number 18: raw total energy -4.5851 eV/atom, total magnetization 0.000 μB/atom. Number 19: raw total energy -7.1429 eV/atom, total magnetization 0.000 μB/atom. Number 20: raw total energy -6.2327 eV/atom, total magnetization 0.356 μB/atom.